The following is a PBE calculation of a relaxed SrAc5La6 crystal, from Alexandria via LeMat-Bulk.

Calculated values
DOS(E_F)   46.44 states/eV/cell
ΔE_f   43 meV/atom
DFT total energy   -4.272 eV/atom
Calculated density   6.89 g/cm3

Lattice parameters (Å, degrees): 5.519 10.898 16.468 90.00 90.00 90.00
Space group Immm (No. 71)
One atom of each set of equivalent atoms:
1 Sr 0.000 0.000 0.000 (multiplicity 2)
2 Ac 0.000 0.000 0.333 (multiplicity 4)
3 Ac 0.000 0.500 0.000 (multiplicity 2)
4 Ac 0.000 0.500 0.330 (multiplicity 4)
5 La 0.000 0.237 0.500 (multiplicity 4)
6 La 0.000 0.256 0.171 (multiplicity 8)